PBE Li6Mg12Tl, optimized geometry; space group = No. 148; ΔH_f (0 K) = -36 meV/atom; E above lowest polymorph = 0 meV/atom; DFT total energy = -1.77 eV/atom
1.0
-2.5161 -7.0011 -0.4922
5.3446 -1.6613 -4.9259
4.5461 -2.1088 5.5204
Li Mg Tl
6 12 1
direct
0.2623 0.1090 0.7325
0.7377 0.8910 0.2675
0.1090 0.7325 0.2623
0.8910 0.2675 0.7377
0.2675 0.7377 0.8910
0.7325 0.2623 0.1090
0.5659 0.1972 0.4768
0.4341 0.8028 0.5232
0.6234 0.9679 0.8415
0.0321 0.1585 0.3766
0.1585 0.3766 0.0321
0.1972 0.4768 0.5659
0.4768 0.5659 0.1972
0.8415 0.6234 0.9679
0.5232 0.4341 0.8028
0.9679 0.8415 0.6234
0.3766 0.0321 0.1585
0.8028 0.5232 0.4341
0.0000 0.0000 0.0000